Compound: Na2VMoF6
Source: Alexandria via LeMat-Bulk
Functional: PBE+U
Structure: relaxed

Calculated values
Theoretical density = 3.26 Mg/m³
Calculated total energy = -5.171 eV/atom
Magnetic moment = 10.0 μB per cell

Unit cell a=5.8009 b=8.4919 c=6.3499 alpha=90.00 beta=90.00 gamma=90.00
Closest atoms and distances in Å follow each position.
Fractional positions:
Na  0.2500  0.0643  0.2445  4 F 2.44-2.47
Na  0.2500  0.4357  0.2445  4 F 2.44-2.47
Na  0.7500  0.5643  0.7555  4 F 2.44-2.47
Na  0.7500  0.9357  0.7555  4 F 2.44-2.47
V  0.2500  0.7500  0.7511  6 F 2.10
V  0.7500  0.2500  0.2489  6 F 2.10
Mo  0.2500  0.2500  0.7482  6 F 2.15-2.24
Mo  0.7500  0.7500  0.2518  6 F 2.15-2.24
F  0.0251  0.2500  0.0342  1 V 2.10, 1 Mo 2.24
F  0.0259  0.2500  0.4621  1 V 2.10, 1 Mo 2.23
F  0.2500  0.5027  0.7536  1 V 2.10, 1 Mo 2.15
F  0.2500  0.9973  0.7536  1 V 2.10, 1 Mo 2.15
F  0.4741  0.2500  0.4621  1 V 2.10, 1 Mo 2.23
F  0.4749  0.2500  0.0342  1 V 2.10, 1 Mo 2.24
F  0.5251  0.7500  0.9658  1 V 2.10, 1 Mo 2.24
F  0.5259  0.7500  0.5379  1 V 2.10, 1 Mo 2.23
F  0.7500  0.0027  0.2464  1 V 2.10, 1 Mo 2.15
F  0.7500  0.4973  0.2464  1 V 2.10, 1 Mo 2.15
F  0.9741  0.7500  0.5379  1 V 2.10, 1 Mo 2.23
F  0.9749  0.7500  0.9658  1 V 2.10, 1 Mo 2.24